(1)
A relaxed CeHo5Tm2 crystal. Source: Alexandria via LeMat-Bulk, functional GGA-PBE.

Values from the calculation:
**Total magnetization**: 2.024 μB per cell
**Final energy**: -74.9 eV for the cell shown
**Formation energy**: 0.04 eV per atom
**N(E_F)**: 24.337 states/eV/cell

Lattice parameters (Å, degrees): 7.0327 14.0652 4.9662 90.00 90.00 90.00
Last column: nearest neighbours and their distance in Å.
Space group Pbam (No. 55)
Unique sites:
Ce: 0.0000 0.0000 0.0000  4 Tm 3.49, 8 Ho 3.50-3.52
Ho: 0.0000 0.5000 0.0000  6 Ho 3.51-3.52, 2 Ce 3.52, 4 Tm 3.52
Ho: 0.0007 0.2502 0.0000  7 Ho 3.51-3.53, 4 Tm 3.51-3.53, 1 Ce 3.52
Ho: 0.2468 0.1241 0.5000  4 Tm 3.47-3.57, 2 Ce 3.50, 6 Ho 3.51-3.53
Tm: 0.2459 0.8760 0.5000  10 Ho 3.47-3.57, 2 Ce 3.49

=====

(2)
A relaxed CsLiCaH crystal. Source: Alexandria via LeMat-Bulk, functional GGA-PBE.

Values from the calculation:
**Total magnetization**: 0.039 μB per cell
**Final energy**: -16.1 eV for the cell shown
**N(E_F)**: 4.326 states/eV/cell

Lattice parameters (Å, degrees): 17.9229 4.0383 4.0392 90.00 102.92 90.00
Last column: nearest neighbours and their distance in Å.
Space group Cm (No. 8)
Unique sites:
Cs: 0.0000 0.0000 0.0000  4 H 3.07
Li: 0.1965 0.5000 0.6995  4 Ca 3.45
Ca: 0.3077 0.0000 0.3098  1 H 2.22
H: 0.4349 0.0000 0.4354  1 Ca 2.22

=====

(3)
A relaxed Zr2TcMo crystal. Source: Alexandria via LeMat-Bulk, functional GGA-PBE.

Values from the calculation:
**Total magnetization**: 0.000 μB per cell
**Final energy**: -113.0 eV for the cell shown
**Formation energy**: 0.16 eV per atom
**N(E_F)**: 14.919 states/eV/cell

Lattice parameters (Å, degrees): 3.1768 3.1768 25.8253 90.00 90.00 120.00
Last column: nearest neighbours and their distance in Å.
Space group R-3m (No. 166, hexagonal axes)
Unique sites:
Zr: 0.0000 0.0000 0.2478  3 Tc 2.78, 3 Mo 2.87
Tc: 0.0000 0.0000 0.5000  6 Zr 2.78
Mo: 0.0000 0.0000 0.0000  6 Zr 2.87, 6 Mo 3.18